A plane-wave DFT calculation with GGA-PBE was carried out for crystalline HfTaV2 at its relaxed geometry.

a b c (Å): 5.7474 5.7474 5.7474
angles (deg): 103.70 103.70 121.75
Closest atoms and distances in Å follow each position.
Positions (direct):
Hf 0.0000 0.0000 0.0000  4 V 2.66, 2 Ta 2.80
Hf 0.7500 0.2500 0.5000  4 V 2.66, 2 Ta 2.80
Ta 0.2500 0.7500 0.5000  4 V 2.55, 2 Hf 2.80
Ta 0.5000 0.5000 0.0000  4 V 2.55, 2 Hf 2.80
V 0.1368 0.6250 0.0118  2 Ta 2.55, 2 Hf 2.66, 2 V 2.80
V 0.3750 0.3868 0.5118  2 Ta 2.55, 2 Hf 2.66, 2 V 2.80
V 0.6132 0.1250 0.9882  2 Ta 2.55, 2 Hf 2.66, 2 V 2.80
V 0.8750 0.8632 0.4882  2 Ta 2.55, 2 Hf 2.66, 2 V 2.80

Results
**Energy above the lowest structure with this stoichiometry**: 581 meV per atom
**Crystal system**: tetragonal
**Energy of formation from the pure elements**: 0.6700 eV/atom
**SG**: No. 122
**VASP energy**: -9.341 eV per atom


A plane-wave DFT calculation with GGA-PBE was carried out for crystalline DyTm4Cd at its relaxed geometry.

a b c (Å): 3.5114 3.5114 14.0248
angles (deg): 90.00 90.00 90.00
Closest atoms and distances in Å follow each position.
Positions (direct):
Dy 0.0000 0.0000 0.0000  8 Tm 3.51, 4 Dy 3.51
Tm 0.0000 0.0000 0.3519  4 Cd 3.24, 8 Tm 3.50-3.51
Tm 0.0000 0.0000 0.6481  4 Cd 3.24, 8 Tm 3.50-3.51
Tm 0.5000 0.5000 0.1765  8 Tm 3.50-3.51, 4 Dy 3.51
Tm 0.5000 0.5000 0.8235  8 Tm 3.50-3.51, 4 Dy 3.51
Cd 0.5000 0.5000 0.5000  8 Tm 3.24, 4 Cd 3.51

Results
**Energy above the lowest structure with this stoichiometry**: 0 meV per atom
**Crystal system**: tetragonal
**Energy of formation from the pure elements**: -0.0867 eV/atom
**SG**: No. 123
**VASP energy**: -3.987 eV per atom